1.
PBE LaYCl, optimized geometry; space-group type = I4mm, No. 107; raw formation energy = -2.23 eV per formula unit; distance to the lowest polymorph of the same formula = 0.198 eV per atom; VASP energy = -5.156 eV per atom
1.0
7.406 -0.002 0.000
5.717 4.708 0.000
-6.562 -2.353 2.501
Cl La Y
1 1 1
Direct
0.008 0.008 0.000
0.340 0.340 0.000
0.652 0.652 0.000

2.
PBE InHg2Pd2, optimized geometry; space-group type = P4/mbm, No. 127; distance to the lowest polymorph of the same formula = 0.000 eV per atom; VASP energy = -2.948 eV per atom
1.0
-1.298 7.014 0.481
-6.418 -1.382 2.831
1.569 0.045 3.579
Hg Pd In
4 4 2
Direct
0.155 0.655 0.500
0.655 0.845 0.500
0.845 0.345 0.500
0.345 0.155 0.500
0.355 0.855 0.000
0.855 0.645 0.000
0.645 0.145 0.000
0.145 0.355 0.000
0.000 0.000 0.000
0.500 0.500 0.000